The following is a PBE-GGA calculation of a geometry-optimized Pt3C5 structure, from Alexandria via LeMat-Bulk.

a = 3.145 Å, b = 3.145 Å, c = 9.218 Å
α = 90.00°, β = 90.00°, γ = 90.00°
Positions (direct):
Pt 0.000 0.000 0.000
Pt 0.500 0.500 0.301
Pt 0.500 0.500 0.699
C 0.000 0.000 0.356
C 0.000 0.000 0.500
C 0.000 0.000 0.644
C 0.500 0.500 0.075
C 0.500 0.500 0.925

Results
formation energy	126.82	kJ per mole of atoms
symmetry	P4/mmm (123)
DOS at the Fermi energy	4.53	states/eV per cell

The following is a PBE-GGA calculation of a geometry-optimized Ba4YTc structure, from Alexandria via LeMat-Bulk.

a = 7.186 Å, b = 7.186 Å, c = 7.186 Å
α = 60.00°, β = 60.00°, γ = 60.00°
Positions (direct):
Ba 0.124 0.124 0.124
Ba 0.124 0.124 0.627
Ba 0.124 0.627 0.124
Ba 0.627 0.124 0.124
Y 0.500 0.500 0.500
Tc 0.750 0.750 0.750

Results
formation energy	109.21	kJ per mole of atoms
symmetry	F-43m (216)
DOS at the Fermi energy	11.71	states/eV per cell

The following is a PBE-GGA calculation of a geometry-optimized Cd4HgBr8 structure, from Alexandria via LeMat-Bulk.

a = 10.132 Å, b = 10.132 Å, c = 13.700 Å
α = 129.46°, β = 129.46°, γ = 23.19°
Positions (direct):
Cd 0.000 0.000 0.000
Cd 0.187 0.187 0.698
Cd 0.514 0.514 0.357
Cd 0.701 0.701 0.055
Hg 0.851 0.851 0.528
Br 0.139 0.139 0.450
Br 0.188 0.188 0.184
Br 0.221 0.221 0.939
Br 0.480 0.480 0.117
Br 0.513 0.513 0.871
Br 0.561 0.561 0.605
Br 0.809 0.809 0.783
Br 0.892 0.892 0.272

Results
formation energy (no corrections)	-0.76	eV/atom
symmetry	Cm (8)

The following is a PBE-GGA calculation of a geometry-optimized Ta2CrPb structure, from Alexandria via LeMat-Bulk.

a = 3.048 Å, b = 4.474 Å, c = 5.624 Å
α = 90.00°, β = 101.50°, γ = 90.00°
Positions (direct):
Ta 0.000 0.000 0.000
Ta 0.304 0.500 0.763
Cr 0.722 0.500 0.168
Pb 0.664 0.000 0.473

Results
formation energy	42.77	kJ per mole of atoms
symmetry	Pm (6)
DOS at the Fermi energy	2.44	states/eV per cell

The following is a PBE-GGA calculation of a geometry-optimized LaMn2SiC structure, from Alexandria via LeMat-Bulk.

a = 5.748 Å, b = 5.748 Å, c = 7.068 Å
α = 90.00°, β = 90.00°, γ = 139.82°
Positions (direct):
La 0.049 0.951 0.750
La 0.951 0.049 0.250
Mn 0.333 0.667 0.565
Mn 0.333 0.667 0.935
Mn 0.667 0.333 0.065
Mn 0.667 0.333 0.435
Si 0.232 0.768 0.250
Si 0.768 0.232 0.750
C 0.500 0.500 0.000
C 0.500 0.500 0.500

Results
formation energy (no corrections)	-0.36	eV/atom
symmetry	Cmcm (63)
DOS at the Fermi energy	6.38	states/eV per cell

The following is a PBE-GGA calculation of a geometry-optimized SrCa3La2Te6 structure, from Alexandria via LeMat-Bulk.

a = 10.240 Å, b = 10.240 Å, c = 9.191 Å
α = 103.18°, β = 103.18°, γ = 25.65°
Positions (direct):
Sr 0.000 0.000 0.000
Ca 0.000 0.000 0.500
Ca 0.334 0.334 0.166
Ca 0.666 0.666 0.834
La 0.331 0.331 0.660
La 0.669 0.669 0.340
Te 0.164 0.164 0.591
Te 0.170 0.170 0.082
Te 0.500 0.500 0.259
Te 0.500 0.500 0.741
Te 0.830 0.830 0.918
Te 0.836 0.836 0.409

Results
formation energy (no corrections)	-1.61	eV/atom
symmetry	C2/m (12)
DOS at the Fermi energy	4.82	states/eV per cell

The following is a PBE-GGA calculation of a geometry-optimized Hf2CrAuBr structure, from Alexandria via LeMat-Bulk.

a = 5.173 Å, b = 5.173 Å, c = 5.390 Å
α = 90.00°, β = 90.00°, γ = 90.00°
Positions (direct):
Hf 0.000 0.500 0.000
Hf 0.500 0.000 0.000
Cr 0.000 0.000 0.500
Au 0.500 0.500 0.000
Br 0.500 0.500 0.500

Results
formation energy (no corrections)	1.24	eV/atom
symmetry	P4/mmm (123)
DOS at the Fermi energy	4.45	states/eV per cell

The following is a PBE-GGA calculation of a geometry-optimized BaAl3 structure, from Alexandria via LeMat-Bulk.

a = 10.551 Å, b = 10.551 Å, c = 10.551 Å
α = 17.68°, β = 17.68°, γ = 17.68°
Positions (direct):
Ba 0.000 0.000 0.000
Al 0.237 0.237 0.237
Al 0.500 0.500 0.500
Al 0.763 0.763 0.763

Results
formation energy	29.40	kJ per mole of atoms
symmetry	R-3m (166)
DOS at the Fermi energy	1.88	states/eV per cell

> Which formula does entry 7 have?

Hf2CrAuBr